# 1
Material: GdBe3Rh
Method: DFT, GGA-PBE
State: optimized geometry

Cell and atoms, written as extended XYZ:
```
5
Lattice="-2.8077 -0.8770 3.0724 -0.9710 -3.6624 -1.9328 3.0440 -1.9772 2.2174" Properties=species:S:1:pos:R:3 pbc="T T T"
Be 1.5220 -0.9886 1.1087
Be -0.4855 -1.8312 -0.9664
Be -1.4039 -0.4385 1.5362
Gd -0.3674 -3.2583 1.6785
Rh 0.0000 0.0000 0.0000
```

## Properties
- E_form: -0.23 eV per atom
- Calculated volume: 15.39 Å³/atom

---

# 2
Material: GdBeRh
Method: DFT, GGA-PBE
State: optimized geometry

Cell and atoms, written as extended XYZ:
```
3
Lattice="-3.1191 -1.5789 2.0240 -1.4839 -1.3893 -3.3706 2.4857 -2.2031 2.1120" Properties=species:S:1:pos:R:3 pbc="T T T"
Rh -0.5207 -0.2636 0.3379
Gd -0.9168 -2.9844 1.6338
Be -0.6798 -1.9234 -1.2062
```

## Properties
- E_form: -0.57 eV per atom
- Calculated volume: 18.07 Å³/atom

---

# 3
Material: GdBe4Rh
Method: DFT, GGA-PBE
State: optimized geometry

Cell and atoms, written as extended XYZ:
```
6
Lattice="-0.5349 4.3630 -1.6726 -3.5757 0.9883 -2.8909 -3.5673 2.6727 1.5002" Properties=species:S:1:pos:R:3 pbc="T T T"
Be -2.9850 4.5367 -0.4360
Be -2.9893 3.6682 -2.7001
Be -4.8286 5.0463 -1.9265
Be -4.5528 2.7967 -1.0641
Gd -1.9195 2.0060 -0.7658
Rh 0.0000 0.0000 0.0000
```

## Properties
- E_form: -0.29 eV per atom
- Calculated volume: 12.26 Å³/atom

---

# 4
Material: GdScBeRh
Method: DFT, GGA-PBE
State: optimized geometry

Cell and atoms, written as extended XYZ:
```
4
Lattice="4.7329 0.0000 0.0000 2.3664 4.0988 0.0000 2.3664 1.3663 3.8644" Properties=species:S:1:pos:R:3 pbc="T T T"
Rh 4.7329 2.7325 1.9322
Sc 7.0993 4.0988 2.8983
Be 0.0000 0.0000 0.0000
Gd 2.3664 1.3663 0.9661
```

## Properties
- E_form: -0.37 eV per atom
- Calculated volume: 18.74 Å³/atom

---

# 5
Material: GdYBeRh
Method: DFT, GGA-PBE
State: optimized geometry

Cell and atoms, written as extended XYZ:
```
4
Lattice="4.8801 0.0000 0.0000 2.4400 4.2263 0.0000 2.4400 1.4088 3.9846" Properties=species:S:1:pos:R:3 pbc="T T T"
Rh 4.8801 2.8175 1.9923
Be 0.0000 0.0000 0.0000
Y 2.4400 1.4088 0.9961
Gd 7.3201 4.2263 2.9884
```

## Properties
- E_form: -0.34 eV per atom
- Calculated volume: 20.54 Å³/atom